Material: ZrSc3Cd
Method: DFT, PBE
State: relaxed

a b c (Å): 7.914 3.297 9.128
angles (deg): 90.00 101.87 90.00
Fractional positions:
Zr1 0.151 0.250 0.452
Zr2 0.849 0.750 0.548
Sc1 0.089 0.750 0.148
Sc2 0.222 0.750 0.757
Sc3 0.460 0.750 0.351
Sc4 0.540 0.250 0.649
Sc5 0.778 0.250 0.243
Sc6 0.911 0.250 0.852
Cd1 0.364 0.250 0.047
Cd2 0.636 0.750 0.953

Computed properties:
**ΔH_f (0 K)**: -0.0815 eV/atom
**Fermi-level density of states**: 11.7 states/eV/cell

***

Material: ZrScCd4
Method: DFT, PBE
State: relaxed

a b c (Å): 5.710 5.710 5.710
angles (deg): 60.00 60.00 60.00
Fractional positions:
Zr1 0.000 0.000 0.000
Sc1 0.250 0.250 0.250
Cd1 0.125 0.625 0.625
Cd2 0.625 0.125 0.625
Cd3 0.625 0.625 0.125
Cd4 0.625 0.625 0.625

Computed properties:
**ΔH_f (0 K)**: -0.0686 eV/atom
**Fermi-level density of states**: 5.3 states/eV/cell

***

Material: ZrSc5Cd6
Method: DFT, PBE
State: relaxed

a b c (Å): 4.981 7.098 7.894
angles (deg): 90.00 108.22 90.00
Fractional positions:
Zr1 0.000 0.000 0.000
Sc1 0.000 0.500 0.000
Sc2 0.333 0.500 0.667
Sc3 0.335 0.000 0.672
Sc4 0.665 0.000 0.328
Sc5 0.667 0.500 0.333
Cd1 0.169 0.251 0.337
Cd2 0.169 0.749 0.337
Cd3 0.500 0.256 0.000
Cd4 0.500 0.744 0.000
Cd5 0.831 0.251 0.663
Cd6 0.831 0.749 0.663

Computed properties:
**ΔH_f (0 K)**: -0.2469 eV/atom
**Fermi-level density of states**: 11.6 states/eV/cell

***

Material: ZrSc6Cd5
Method: DFT, PBE
State: relaxed

a b c (Å): 8.753 8.753 8.753
angles (deg): 146.54 132.53 59.32
Fractional positions:
Zr1 0.000 0.000 0.000
Sc1 0.082 0.832 0.249
Sc2 0.253 0.500 0.753
Sc3 0.417 0.168 0.249
Sc4 0.583 0.832 0.751
Sc5 0.747 0.500 0.247
Sc6 0.918 0.168 0.751
Cd1 0.159 0.659 0.500
Cd2 0.333 0.333 0.000
Cd3 0.500 0.000 0.500
Cd4 0.667 0.667 0.000
Cd5 0.841 0.341 0.500

Computed properties:
**ΔH_f (0 K)**: -0.2025 eV/atom
**Fermi-level density of states**: 11.9 states/eV/cell

***

Material: ZrScCd3
Method: DFT, PBE
State: relaxed

a b c (Å): 5.418 5.418 5.418
angles (deg): 90.00 90.00 90.00
Fractional positions:
Zr1 0.000 0.000 0.000
Sc1 0.500 0.500 0.500
Cd1 0.000 0.000 0.500
Cd2 0.000 0.500 0.000
Cd3 0.500 0.000 0.000

Computed properties:
**ΔH_f (0 K)**: 0.8729 eV/atom
**Fermi-level density of states**: 6.6 states/eV/cell

***

Material: Zr2ScCd5
Method: DFT, PBE
State: relaxed

a b c (Å): 4.651 4.651 15.962
angles (deg): 90.00 90.00 90.00
Fractional positions:
Zr1 0.000 0.000 0.247
Zr2 0.000 0.000 0.753
Zr3 0.500 0.500 0.253
Zr4 0.500 0.500 0.747
Sc1 0.000 0.000 0.500
Sc2 0.500 0.500 0.000
Cd1 0.000 0.000 0.000
Cd2 0.000 0.500 0.122
Cd3 0.000 0.500 0.378
Cd4 0.000 0.500 0.622
Cd5 0.000 0.500 0.878
Cd6 0.500 0.000 0.122
Cd7 0.500 0.000 0.378
Cd8 0.500 0.000 0.622
Cd9 0.500 0.000 0.878
Cd10 0.500 0.500 0.500

Computed properties:
**ΔH_f (0 K)**: -0.1455 eV/atom
**Fermi-level density of states**: 12.0 states/eV/cell

***

| no. | size of the total moment (Bohr magnetons per cell) |
| --- | --- |
| 1 | 0.0 |
| 2 | 2.0 |
| 3 | 1.5 |
| 4 | 3.1 |
| 5 | 2.4 |
| 6 | 0.0 |